VASP calculation (GGA-PBE) on crystalline Pr5Nd3Mg at its relaxed geometry.

a = 7.1424 Å, b = 7.1424 Å, c = 13.8278 Å
α = 89.12°, β = 89.12°, γ = 72.12°
Fractional coordinates of all 18 atoms:
1 Nd 0.7582 0.7582 0.8813
2 Pr 0.0196 0.4613 0.3364
3 Pr 0.4613 0.0196 0.3364
4 Nd 0.2418 0.2418 0.1187
5 Nd 0.3652 0.3652 0.5103
6 Nd 0.6348 0.6348 0.4897
7 Nd 0.0000 0.0000 0.0000
8 Pr 0.2450 0.2450 0.8740
9 Mg 0.9947 0.9947 0.2533
10 Nd 0.0000 0.0000 0.5000
11 Pr 0.6734 0.3266 0.0000
12 Pr 0.9804 0.5387 0.6636
13 Pr 0.5387 0.9804 0.6636
14 Pr 0.4963 0.4963 0.2568
15 Pr 0.7550 0.7550 0.1260
16 Pr 0.5037 0.5037 0.7432
17 Mg 0.0053 0.0053 0.7467
18 Pr 0.3266 0.6734 0.0000

Values from the calculation:
- total magnetic moment (μB per formula unit) = 0.0
- calculated formation energy (kJ per mole of atoms) = 32
- space group = C2/m
- N(E_F) (states/eV/cell) = 24.31

VASP calculation (GGA-PBE) on crystalline PrNdMg2 at its relaxed geometry.

a = 5.5172 Å, b = 5.5172 Å, c = 5.5172 Å
α = 60.00°, β = 60.00°, γ = 60.00°
Fractional coordinates of all 4 atoms:
1 Mg 0.2500 0.2500 0.2500
2 Pr 0.0000 0.0000 0.0000
3 Nd 0.5000 0.5000 0.5000
4 Mg 0.7500 0.7500 0.7500

Values from the calculation:
- total magnetic moment (μB per formula unit) = 0.0
- calculated formation energy (kJ per mole of atoms) = -12
- space group = Fm-3m
- ΔE to the lowest computed polymorph (eV per atom) = 0.000
- N(E_F) (states/eV/cell) = 3.72

VASP calculation (GGA-PBE) on crystalline Pr6Nd3Mg at its relaxed geometry.

a = 5.4307 Å, b = 10.7425 Å, c = 12.1665 Å
α = 90.00°, β = 90.05°, γ = 90.00°
Fractional coordinates of all 20 atoms:
1 Pr 0.4999 0.4290 0.7473
2 Nd 0.9997 0.6191 0.7811
3 Mg 0.0000 0.0000 0.0000
4 Pr 0.9999 0.0710 0.2473
5 Nd 0.0000 0.0000 0.5000
6 Nd 0.5000 0.5000 0.0000
7 Pr 0.5000 0.1746 0.0810
8 Pr 0.0001 0.9290 0.7527
9 Mg 0.5000 0.5000 0.5000
10 Pr 0.5000 0.8254 0.9190
11 Pr 0.0000 0.6746 0.4190
12 Pr 0.4998 0.7849 0.6124
13 Pr 0.5001 0.5710 0.2527
14 Nd 0.4997 0.8809 0.2811
15 Nd 0.0003 0.3809 0.2189
16 Nd 0.5003 0.1191 0.7189
17 Pr 0.9998 0.7151 0.1124
18 Pr 0.0000 0.3254 0.5810
19 Pr 0.0002 0.2849 0.8876
20 Pr 0.5002 0.2151 0.3876

Values from the calculation:
- total magnetic moment (μB per formula unit) = 0.0
- calculated formation energy (kJ per mole of atoms) = 10
- space group = P2_1/c
- ΔE to the lowest computed polymorph (eV per atom) = 0.003
- N(E_F) (states/eV/cell) = 25.49

VASP calculation (GGA-PBE) on crystalline Pr5Nd2Mg at its relaxed geometry.

a = 7.3732 Å, b = 7.3736 Å, c = 6.9347 Å
α = 105.32°, β = 105.32°, γ = 120.20°
Fractional coordinates of all 8 atoms:
1 Nd 0.7452 0.3331 0.5225
2 Mg 0.8186 0.7374 0.0002
3 Pr 0.3314 0.7495 0.0000
4 Nd 0.2228 0.8108 0.4776
5 Pr 0.3269 0.2286 0.0000
6 Pr 0.8063 0.2248 0.0000
7 Pr 0.7359 0.8194 0.4999
8 Pr 0.2359 0.3195 0.4998

Values from the calculation:
- total magnetic moment (μB per formula unit) = 0.0
- calculated formation energy (kJ per mole of atoms) = 0
- space group = Fmm2
- ΔE to the lowest computed polymorph (eV per atom) = 0.012
- N(E_F) (states/eV/cell) = 10.47